Record 1
First-principles (GGA-PBE) data for a relaxed structure of Tl23BiSb6, as listed in Alexandria via LeMat-Bulk.

a b c (Å): 12.093 9.898 12.093
angles (deg): 65.84 48.32 65.84
Positions (direct):
Bi 0.500 0.500 0.500
Tl 0.874 0.874 0.378
Tl 0.625 0.627 0.121
Tl 0.874 0.874 0.874
Tl 0.874 0.378 0.874
Sb 0.750 0.250 0.750
Tl 0.627 0.121 0.627
Tl 0.500 0.000 0.000
Sb 0.257 0.743 0.743
Tl 0.500 0.000 0.500
Tl 0.373 0.375 0.373
Sb 0.257 0.257 0.743
Tl 0.622 0.126 0.126
Tl 0.000 0.500 0.000
Tl 0.000 0.000 0.000
Tl 0.375 0.373 0.879
Tl 0.126 0.126 0.622
Sb 0.250 0.750 0.250
Tl 0.378 0.874 0.874
Tl 0.879 0.373 0.375
Tl 0.500 0.500 0.000
Tl 0.000 0.500 0.500
Tl 0.121 0.627 0.625
Tl 0.373 0.879 0.373
Sb 0.743 0.257 0.257
Tl 0.627 0.625 0.627
Tl 0.000 0.000 0.500
Tl 0.126 0.622 0.126
Tl 0.126 0.126 0.126
Sb 0.743 0.743 0.257

The calculation puts the raw formation energy at 0.024 eV/atom. For the size of the total moment, the calculation gives 0.00 μB per formula unit.


Record 2
First-principles (GGA-PBE) data for a relaxed structure of Ce2AlIn4, as listed in Alexandria via LeMat-Bulk.

a b c (Å): 10.520 6.118 6.683
angles (deg): 117.24 90.00 90.00
Each line ends with the local moment (μB).
Positions (direct):
In 0.250 0.499 0.500  0.01
Ce 0.000 0.615 0.231  0.74
In 0.250 0.250 0.000  0.00
Al 0.000 0.000 0.000  0.01
In 0.750 0.250 0.000  0.00
In 0.250 0.750 0.000  0.00
Ce 0.000 0.385 0.769  0.74
In 0.750 0.750 0.000  0.00
Al 0.500 0.500 0.000  0.01
In 0.250 0.999 0.500  0.01
Ce 0.500 0.115 0.231  0.74
In 0.750 0.001 0.500  0.01
In 0.750 0.501 0.500  0.01
Ce 0.500 0.885 0.769  0.74

For the size of the total moment, the calculation gives 1.80 μB per formula unit. The value obtained for the formation energy is -0.11 eV per atom.


Record 3
First-principles (GGA-PBE) data for a relaxed structure of LiZnAsRu2, as listed in Alexandria via LeMat-Bulk.

a b c (Å): 4.653 4.647 4.653
angles (deg): 90.00 90.00 90.00
Each line ends with the local moment (μB).
Positions (direct):
Ru 0.500 0.000 0.000  1.04
As 0.000 0.500 0.000  -0.03
Ru 0.000 0.000 0.500  1.14
Li 0.500 0.500 0.500  -0.01
Zn 0.000 0.000 0.000  0.00

For the size of the total moment, the calculation gives 2.27 μB per formula unit. The value obtained for the formation energy is 1.20 eV per atom.


Record 4
First-principles (GGA-PBE) data for a relaxed structure of TbGdCd, as listed in Alexandria via LeMat-Bulk.

a b c (Å): 3.549 5.286 5.286
angles (deg): 120.00 90.00 90.00
Each line ends with the local moment (μB).
Positions (direct):
Tb 0.944 0.000 0.000  0.03
Cd 0.679 0.667 0.333  -0.01
Gd 0.377 0.333 0.667  7.14

For the size of the total moment, the calculation gives 7.41 μB per formula unit. The value obtained for the formation energy is -0.09 eV per atom. The value obtained for the energy above the most stable polymorph in this dataset is 0 meV/atom.


Record 5
First-principles (GGA-PBE) data for a relaxed structure of SrPuCu2O8, as listed in Alexandria via LeMat-Bulk.

a b c (Å): 6.002 6.002 6.002
angles (deg): 108.98 108.98 110.46
Positions (direct):
Sr 0.000 0.000 0.000
O 0.313 0.095 0.782
O 0.313 0.531 0.218
O 0.469 0.687 0.782
O 0.905 0.687 0.218
Cu 0.750 0.250 0.500
Cu 0.500 0.500 0.000
O 0.954 0.614 0.660
Pu 0.250 0.750 0.500
O 0.954 0.294 0.340
O 0.386 0.046 0.340
O 0.706 0.046 0.660

The calculation puts the raw formation energy at -1.244 eV/atom. For the size of the total moment, the calculation gives 0.00 μB per formula unit.


Record 6
First-principles (GGA-PBE) data for a relaxed structure of Ac2TbTmTe5, as listed in Alexandria via LeMat-Bulk.

a b c (Å): 5.465 5.465 11.648
angles (deg): 90.00 90.00 90.00
Positions (direct):
Ac 0.500 0.500 0.703
Te 0.500 0.000 0.500
Te 0.000 0.000 0.246
Te 0.500 0.500 0.000
Ac 0.500 0.500 0.297
Te 0.000 0.000 0.754
Tm 0.000 0.000 0.500
Tb 0.000 0.000 0.000
Te 0.000 0.500 0.500

The calculation puts the raw formation energy at -1.013 eV/atom. For the size of the total moment, the calculation gives 0.00 μB per formula unit.


Record 7
First-principles (GGA-PBE) data for a relaxed structure of Sr2USb3Rh4, as listed in Alexandria via LeMat-Bulk.

a b c (Å): 4.545 4.545 11.167
angles (deg): 90.00 90.00 90.00
Each line ends with the local moment (μB).
Positions (direct):
Rh 0.500 0.000 0.636  -0.10
U 0.500 0.500 0.500  2.15
Sb 0.000 0.500 0.127  0.00
Rh 0.000 0.500 0.364  -0.10
Sr 0.500 0.000 0.231  0.03
Sb 0.500 0.000 0.873  0.00
Sr 0.000 0.500 0.769  0.03
Rh 0.000 0.000 0.000  0.07
Sb 0.000 0.000 0.500  -0.02
Rh 0.500 0.500 0.000  0.06

The calculation puts the raw formation energy at -0.658 eV/atom. For the size of the total moment, the calculation gives 2.55 μB per formula unit.


Record 8
First-principles (GGA-PBE) data for a relaxed structure of ScCoRu2, as listed in Alexandria via LeMat-Bulk.

a b c (Å): 7.283 7.283 5.684
angles (deg): 50.16 50.16 90.00
Positions (direct):
Ru 0.875 0.937 0.750
Ru 0.687 0.125 0.250
Co 0.000 0.000 0.000
Ru 0.063 0.625 0.250
Ru 0.375 0.313 0.750
Sc 0.250 0.750 0.500
Sc 0.500 0.500 0.000
Co 0.750 0.250 0.500

For the size of the total moment, the calculation gives 0.00 μB per formula unit. The value obtained for the formation energy is 0.25 eV per atom. The value obtained for the energy above the most stable polymorph in this dataset is 321 meV/atom.